# Bi3MoO GGA+U optimized geometry
# Symmetry   Pm-3m
# Volume   29.8 Å³ per atom
# Offset from the most stable computed form   0.943 eV/atom
# Total magnetic moment   0.00 μB/atom
data_Bi3MoO
_chemical_formula_sum 'Bi3 Mo1 O1'
_space_group_name_H-M_alt 'P 1'
_space_group_IT_number 1
_space_group_name_Hall 'P 1'
_cell_length_a 5.303
_cell_length_b 5.303
_cell_length_c 5.303
_cell_angle_alpha 90.00
_cell_angle_beta 90.00
_cell_angle_gamma 90.00
loop_
_atom_site_label
_atom_site_type_symbol
_atom_site_fract_x
_atom_site_fract_y
_atom_site_fract_z
Mo1 Mo 0.000 0.000 0.000
Bi1 Bi 0.000 0.500 0.000
Bi2 Bi 0.000 0.000 0.500
Bi3 Bi 0.500 0.000 0.000
O1 O 0.500 0.500 0.500